Mg2CoSnN: optimized geometry, GGA-PBE.

Geometry as CIF:
```
data_Mg2CoSnN
_chemical_formula_sum 'Mg2 Co1 Sn1 N1'
_cell_length_a 4.371
_cell_length_b 4.371
_cell_length_c 3.941
_cell_angle_alpha 90.00
_cell_angle_beta 90.00
_cell_angle_gamma 90.00
_space_group_name_H-M_alt 'P 1'
_space_group_IT_number 1
_space_group_name_Hall 'P 1'
loop_
_atom_site_label
_atom_site_type_symbol
_atom_site_fract_x
_atom_site_fract_y
_atom_site_fract_z
Mg1 Mg 0.000 0.500 0.000
Mg2 Mg 0.500 0.000 0.000
Co1 Co 0.000 0.000 0.500
Sn1 Sn 0.500 0.500 0.500
N1 N 0.000 0.000 0.000
```

Values from the calculation:
Electronic total energy   -4.671 eV/atom
Spin magnetization   1.5 μB/cell
N(E_F)   3.31 states/eV per cell
SG   No. 123